(1)
Pr6TeAs2Se3, relaxed, DFT PBE; uncorrected formation energy = -1.70 eV/atom; raw total energy = -71.98 eV for the cell shown; total magnetic moment = 0.0 μB per cell; theoretical density = 6.549 g cm⁻³; Fermi-level density of states = 4.140 states/eV per cell
1.0
9.4279 -2.1584 0.0000
9.4279 2.1584 0.0000
-1.9292 0.0000 8.4717
Pr Te As Se
6 1 2 3
Direct
0.0058 0.0058 0.2707
0.3258 0.3258 0.8999
0.3301 0.3301 0.4218
0.6699 0.6699 0.5782
0.6742 0.6742 0.1001
0.9942 0.9942 0.7293
0.5000 0.5000 0.0000
0.1674 0.1674 0.3344
0.8326 0.8326 0.6656
0.1626 0.1626 0.8350
0.5000 0.5000 0.5000
0.8374 0.8374 0.1650

(2)
Pr4Te2AsSe, relaxed, DFT PBE; uncorrected formation energy = -1.61 eV/atom; raw total energy = -46.40 eV for the cell shown; total magnetic moment = 0.0 μB per cell; theoretical density = 6.635 g cm⁻³; Fermi-level density of states = 3.187 states/eV per cell
1.0
7.5562 0.0000 0.0000
0.0000 4.3667 0.0000
-2.5193 0.0000 7.3782
Pr Te As Se
4 2 1 1
Direct
0.2353 0.0000 0.2195
0.2555 0.5000 0.7801
0.7445 0.5000 0.2199
0.7647 0.0000 0.7805
0.0000 0.0000 0.5000
0.5000 0.5000 0.5000
0.0000 0.5000 0.0000
0.5000 0.0000 0.0000

(3)
PrThAsSe, relaxed, DFT PBE; uncorrected formation energy = -1.17 eV/atom; raw total energy = -50.04 eV for the cell shown; total magnetic moment = 0.0 μB per cell; theoretical density = 7.389 g cm⁻³; Fermi-level density of states = 8.923 states/eV per cell
1.0
2.5020 1.4445 10.9195
-2.5020 1.4445 10.9195
0.0000 -2.8891 10.9195
Pr Th As Se
2 2 2 2
Direct
0.2027 0.2027 0.2027
0.7973 0.7973 0.7973
0.3832 0.3832 0.3832
0.6168 0.6168 0.6168
0.2957 0.2957 0.2957
0.7043 0.7043 0.7043
0.1067 0.1067 0.1067
0.8933 0.8933 0.8933

(4)
Pr2ThAs2Se2, relaxed, DFT PBE; uncorrected formation energy = -1.17 eV/atom; raw total energy = -41.44 eV for the cell shown; total magnetic moment = 0.0 μB per cell; theoretical density = 5.869 g cm⁻³; Fermi-level density of states = 0.784 states/eV per cell
1.0
-2.7994 2.7994 7.4153
2.7994 -2.7994 7.4153
2.7994 2.7994 -7.4153
Pr Th As Se
2 1 2 2
Direct
0.1196 0.1196 0.0000
0.8804 0.8804 0.0000
0.5000 0.5000 0.0000
0.0000 0.5000 0.5000
0.5000 0.0000 0.5000
0.3064 0.3064 0.0000
0.6936 0.6936 0.0000